Entry 1:
A geometry-optimized Sr2Ga2Rh structure, computed with PBE.

abc: 6.1705 6.1705 5.6841
angles: 57.13 57.13 90.00
Positions (direct):
Sr: 0.7500 0.2500 0.5000
Sr: 0.2500 0.7500 0.5000
Rh: 0.0000 0.0000 0.0000
Ga: 0.3356 0.3356 0.3288
Ga: 0.6644 0.6644 0.6712

density of states at the Fermi level	4.6	states/eV/f.u.
excess energy over the best structure of this formula in the dataset	0.346	eV/atom
crystal system	tetragonal
formation enthalpy at 0 K	-0.172	eV per atom
symmetry	I4/mmm, No. 139
E_tot	-3.526	eV per atom

***

Entry 2:
A geometry-optimized ScP2CO structure, computed with PBE.

abc: 3.5959 3.5959 5.3022
angles: 90.00 90.00 90.00
Positions (direct):
Sc: 0.5000 0.5000 0.5000
P: 0.0000 0.5000 0.0000
P: 0.5000 0.0000 0.0000
C: 0.0000 0.0000 0.0000
O: 0.0000 0.0000 0.5000

density of states at the Fermi level	1.3	states/eV/f.u.
excess energy over the best structure of this formula in the dataset	0.000	eV/atom
formation energy from raw total energies	23.5	kJ/mol of atoms
crystal system	tetragonal
symmetry	P4/mmm, No. 123
E_tot	-6.023	eV per atom

***

Entry 3:
A geometry-optimized Cu2Hg2B structure, computed with PBE.

abc: 5.7700 5.7700 5.2470
angles: 90.00 90.00 90.00
Positions (direct):
B: 0.0000 0.0000 0.0000
B: 0.5000 0.5000 0.0000
Hg: 0.1834 0.6834 0.5000
Hg: 0.6834 0.8166 0.5000
Hg: 0.8166 0.3166 0.5000
Hg: 0.3166 0.1834 0.5000
Cu: 0.2576 0.7576 0.0000
Cu: 0.7576 0.7424 0.0000
Cu: 0.7424 0.2424 0.0000
Cu: 0.2424 0.2576 0.0000

density of states at the Fermi level	2.0	states/eV/f.u.
crystal system	tetragonal
formation enthalpy at 0 K	0.510	eV per atom
symmetry	P4/mbm, No. 127
E_tot	-2.585	eV per atom

***

Entry 4:
A geometry-optimized KTiTc2O8 structure, computed with PBE.

abc: 5.6955 5.6955 7.3748
angles: 89.81 89.81 60.28
Positions (direct):
K: 0.0000 0.0000 0.5000
Ti: 0.0000 0.0000 0.0000
Tc: 0.6650 0.6650 0.2427
Tc: 0.3350 0.3350 0.7573
O: 0.6762 0.1641 0.8431
O: 0.8354 0.8354 0.1531
O: 0.6664 0.6664 0.4799
O: 0.3336 0.3336 0.5201
O: 0.1646 0.1646 0.8469
O: 0.1641 0.6762 0.8431
O: 0.8359 0.3238 0.1569
O: 0.3238 0.8359 0.1569

density of states at the Fermi level	3.8	states/eV/f.u.
formation energy from raw total energies	-175.0	kJ/mol of atoms
crystal system	monoclinic
symmetry	C2/m, No. 12
E_tot	-7.597	eV per atom

***

Entry 5:
A geometry-optimized SrYZnH2 structure, computed with PBE.

abc: 4.7671 4.7671 5.4322
angles: 90.00 90.00 90.00
Positions (direct):
Y: 0.0000 0.0000 0.5000
Sr: 0.5000 0.5000 0.5000
Zn: 0.0000 0.0000 0.0000
H: 0.0000 0.5000 0.0000
H: 0.5000 0.0000 0.0000

density of states at the Fermi level	3.9	states/eV/f.u.
crystal system	tetragonal
symmetry	P4/mmm, No. 123
E_tot	-2.403	eV per atom

***

Entry 6:
A geometry-optimized Cu3Ni2 structure, computed with PBE.

abc: 4.8121 4.8121 6.5053
angles: 81.03 81.03 125.34
Positions (direct):
Cu: 0.2773 0.3349 0.1997
Cu: 0.5346 0.4770 0.8003
Cu: 0.2270 0.7846 0.3003
Cu: 0.0849 0.5273 0.6997
Cu: 0.9177 0.9177 0.0000
Cu: 0.6677 0.1677 0.5000
Ni: 0.8197 0.3533 0.0974
Ni: 0.4507 0.9171 0.9026
Ni: 0.6671 0.7007 0.4026
Ni: 0.1033 0.0697 0.5974

density of states at the Fermi level	4.9	states/eV/f.u.
excess energy over the best structure of this formula in the dataset	0.079	eV/atom
crystal system	orthorhombic
formation enthalpy at 0 K	0.084	eV per atom
symmetry	Fdd2, No. 43
E_tot	-4.686	eV per atom

***

Entry 7:
A geometry-optimized La2PmPrDy5 structure, computed with PBE.

abc: 8.7384 8.7384 10.0492
angles: 115.77 115.77 90.00
Positions (direct):
La: 0.1176 0.3824 0.0000
La: 0.6176 0.1176 0.0000
La: 0.3824 0.8824 0.0000
La: 0.8824 0.6176 0.0000
Pm: 0.2500 0.7500 0.5000
Pm: 0.7500 0.2500 0.5000
Pr: 0.2500 0.2500 0.5000
Pr: 0.7500 0.7500 0.5000
Dy: 0.9266 0.4266 0.2796
Dy: 0.6471 0.1471 0.7204
Dy: 0.0734 0.5734 0.7204
Dy: 0.1471 0.0734 0.7204
Dy: 0.5734 0.6471 0.7204
Dy: 0.8529 0.9266 0.2796
Dy: 0.4266 0.3529 0.2796
Dy: 0.3529 0.8529 0.2796
Dy: 0.5000 0.5000 0.0000
Dy: 0.0000 0.0000 0.0000

density of states at the Fermi level	11.8	states/eV/f.u.
crystal system	tetragonal
formation enthalpy at 0 K	0.241	eV per atom
symmetry	I4/mcm, No. 140
E_tot	-4.470	eV per atom

***

Entry 8:
A geometry-optimized BaZnAs3 structure, computed with PBE.

abc: 5.0433 5.0433 5.0433
angles: 90.00 90.00 90.00
Positions (direct):
Zn: 0.0000 0.0000 0.0000
As: 0.0000 0.5000 0.0000
As: 0.0000 0.0000 0.5000
As: 0.5000 0.0000 0.0000
Ba: 0.5000 0.5000 0.5000

density of states at the Fermi level	3.0	states/eV/f.u.
excess energy over the best structure of this formula in the dataset	0.000	eV/atom
crystal system	cubic
formation enthalpy at 0 K	-0.152	eV per atom
symmetry	Pm-3m, No. 221
E_tot	-3.581	eV per atom

***

Entry 9:
A geometry-optimized AlZnGeCl2 structure, computed with PBE.

abc: 4.6154 5.8751 4.6154
angles: 90.00 90.00 90.00
Positions (direct):
Ge: 0.5000 0.5000 0.5000
Al: 0.0000 0.5000 0.0000
Zn: 0.0000 0.0000 0.0000
Cl: 0.0000 0.0000 0.5000
Cl: 0.5000 0.0000 0.0000

density of states at the Fermi level	3.2	states/eV/f.u.
formation energy from raw total energies	16.9	kJ/mol of atoms
crystal system	tetragonal
symmetry	P4/mmm, No. 123
E_tot	-2.490	eV per atom

***

Entry 10:
A geometry-optimized SmGa2Au3 structure, computed with PBE.

abc: 4.5554 9.2429 6.7952
angles: 119.63 90.00 104.27
Positions (direct):
Sm: 0.8769 0.7538 0.9321
Sm: 0.1231 0.2462 0.0679
Ga: 0.4899 0.9798 0.7841
Ga: 0.5101 0.0202 0.2159
Ga: 0.7730 0.5460 0.2184
Ga: 0.2270 0.4540 0.7816
Au: 0.3105 0.6211 0.5609
Au: 0.9359 0.8718 0.5680
Au: 0.6412 0.2825 0.7826
Au: 0.3588 0.7175 0.2174
Au: 0.0641 0.1282 0.4320
Au: 0.6895 0.3789 0.4391

density of states at the Fermi level	1.8	states/eV/f.u.
crystal system	monoclinic
formation enthalpy at 0 K	-0.547	eV per atom
symmetry	C2/m, No. 12
E_tot	-3.982	eV per atom

***

Entry 11:
A geometry-optimized Dy6AgIr5 structure, computed with PBE.

abc: 4.9078 8.4881 8.4881
angles: 120.46 106.80 106.80
Positions (direct):
Ir: 0.5000 0.1641 0.8359
Ir: 0.0000 0.3335 0.6665
Ir: 0.5000 0.5000 0.5000
Ir: 0.0000 0.6665 0.3335
Ir: 0.5000 0.8359 0.1641
Ag: 0.0000 0.0000 0.0000
Dy: 0.2539 0.0835 0.4243
Dy: 0.7461 0.5757 0.9165
Dy: 0.7585 0.2585 0.2585
Dy: 0.2415 0.7415 0.7415
Dy: 0.2539 0.4243 0.0835
Dy: 0.7461 0.9165 0.5757

density of states at the Fermi level	6.9	states/eV/f.u.
crystal system	orthorhombic
formation enthalpy at 0 K	-0.756	eV per atom
symmetry	Immm, No. 71
E_tot	-6.986	eV per atom

***

Entry 12:
A geometry-optimized CaCS structure, computed with PBE.

abc: 4.0299 4.0299 27.4416
angles: 90.00 90.00 120.00
Positions (direct):
C: 0.0000 0.0000 0.3988
C: 0.3333 0.6667 0.0654
C: 0.6667 0.3333 0.7321
C: 0.0000 0.0000 0.3531
C: 0.3333 0.6667 0.0198
C: 0.6667 0.3333 0.6864
Ca: 0.0000 0.0000 0.8992
Ca: 0.3333 0.6667 0.5658
Ca: 0.6667 0.3333 0.2325
Ca: 0.0000 0.0000 0.7715
Ca: 0.3333 0.6667 0.4381
Ca: 0.6667 0.3333 0.1048
S: 0.0000 0.0000 0.2921
S: 0.3333 0.6667 0.9588
S: 0.6667 0.3333 0.6254
S: 0.0000 0.0000 0.1735
S: 0.3333 0.6667 0.8401
S: 0.6667 0.3333 0.5068

density of states at the Fermi level	0.0	states/eV/f.u.
excess energy over the best structure of this formula in the dataset	0.043	eV/atom
formation energy from raw total energies	-76.2	kJ/mol of atoms
crystal system	trigonal
symmetry	R3m, No. 160
E_tot	-5.908	eV per atom

***

What did the first record say?
A geometry-optimized Sr2Ga2Rh structure, computed with PBE.

abc: 6.1705 6.1705 5.6841
angles: 57.13 57.13 90.00
Positions (direct):
Sr: 0.7500 0.2500 0.5000
Sr: 0.2500 0.7500 0.5000
Rh: 0.0000 0.0000 0.0000
Ga: 0.3356 0.3356 0.3288
Ga: 0.6644 0.6644 0.6712

density of states at the Fermi level	4.6	states/eV/f.u.
excess energy over the best structure of this formula in the dataset	0.346	eV/atom
crystal system	tetragonal
formation enthalpy at 0 K	-0.172	eV per atom
symmetry	I4/mmm, No. 139
E_tot	-3.526	eV per atom

***

Which of these has the highest density of states at the Fermi level?
La2PmPrDy5

***

The highest density of states at the Fermi level belongs to which entry?
La2PmPrDy5

***

The highest E_tot belongs to which entry?
SrYZnH2